FeGeSe2: optimized geometry, GGA-PBE.

abc: 8.5885 8.5885 8.5885
angles: 22.66 22.66 22.66
With the nearest neighbours (Å) after each atom.
Element x y z (fractional)
1 Ge 0.0000 0.0000 0.0000  2 Se 2.81
2 Se 0.1119 0.1119 0.1119  3 Fe 2.38
3 Se 0.8881 0.8881 0.8881  3 Fe 2.38
4 Fe 0.5000 0.5000 0.5000  6 Se 2.38

Results
formation energy (no corrections): -0.018 eV per atom
ρ: 5.76 g/cm³


FeGeSe2: optimized geometry, GGA-PBE.

abc: 11.3995 11.3995 11.3995
angles: 14.45 14.45 14.45
With the nearest neighbours (Å) after each atom.
Element x y z (fractional)
1 Fe 0.0000 0.0000 0.0000  2 Se 2.36
2 Ge 0.5000 0.5000 0.5000  6 Ge 2.87
3 Se 0.0696 0.0696 0.0696  1 Fe 2.36
4 Se 0.9304 0.9304 0.9304  1 Fe 2.36

Results
formation energy (no corrections): 0.477 eV per atom
ρ: 5.92 g/cm³


FeGe3Se: optimized geometry, GGA-PBE.

abc: 4.5654 4.5654 4.5654
angles: 90.00 90.00 90.00
With the nearest neighbours (Å) after each atom.
Element x y z (fractional)
1 Se 0.5000 0.5000 0.5000  12 Ge 3.23
2 Ge 0.0000 0.5000 0.0000  2 Fe 2.28
3 Ge 0.5000 0.0000 0.0000  2 Fe 2.28
4 Ge 0.0000 0.0000 0.5000  2 Fe 2.28
5 Fe 0.0000 0.0000 0.0000  6 Ge 2.28

Results
formation energy (no corrections): -0.013 eV per atom
ρ: 6.16 g/cm³
relative energy among the computed polymorphs: 0.00 eV/f.u.


FeGe3Se: optimized geometry, GGA-PBE.

abc: 5.3206 5.3206 5.3206
angles: 90.00 90.00 90.00
With the nearest neighbours (Å) after each atom.
Element x y z (fractional)
1 Ge 0.5000 0.0000 0.0000  2 Se 2.66
2 Ge 0.0000 0.0000 0.5000  2 Se 2.66
3 Ge 0.0000 0.5000 0.0000  2 Se 2.66
4 Se 0.0000 0.0000 0.0000  6 Ge 2.66
5 Fe 0.5000 0.5000 0.5000  12 Ge 3.76

Results
formation energy (no corrections): 1.528 eV per atom
ρ: 3.89 g/cm³
relative energy among the computed polymorphs: 7.71 eV/f.u.


FeGeSe: optimized geometry, GGA-PBE.

abc: 6.0466 6.1136 6.0797
angles: 122.96 90.00 90.00
With the nearest neighbours (Å) after each atom.
Element x y z (fractional)
1 Fe 0.0074 0.7609 0.7574  3 Ge 2.35-2.43, 3 Se 2.36-2.40
2 Fe 0.9926 0.2391 0.2426  3 Ge 2.35-2.43, 3 Se 2.36-2.40
3 Fe 0.5074 0.2391 0.7426  3 Ge 2.35-2.43, 3 Se 2.36-2.40
4 Fe 0.4926 0.7609 0.2574  3 Ge 2.35-2.43, 3 Se 2.36-2.40
5 Ge 0.8395 0.6521 0.3480  3 Fe 2.35-2.43, 1 Se 2.64
6 Ge 0.6605 0.6521 0.8480  3 Fe 2.35-2.43, 1 Se 2.64
7 Ge 0.3395 0.3479 0.1520  3 Fe 2.35-2.43, 1 Se 2.64
8 Ge 0.1605 0.3479 0.6520  3 Fe 2.35-2.43, 1 Se 2.64
9 Se 0.6264 0.1602 0.3349  3 Fe 2.36-2.40, 1 Ge 2.64
10 Se 0.1264 0.8398 0.1651  3 Fe 2.36-2.40, 1 Ge 2.64
11 Se 0.8736 0.1602 0.8349  3 Fe 2.36-2.40, 1 Ge 2.64
12 Se 0.3736 0.8398 0.6651  3 Fe 2.36-2.40, 1 Ge 2.64

Results
formation energy (no corrections): -0.214 eV per atom
ρ: 7.31 g/cm³


FeGeSe2: optimized geometry, GGA-PBE.

abc: 5.8615 5.8615 7.2177
angles: 66.04 66.04 90.00
With the nearest neighbours (Å) after each atom.
Element x y z (fractional)
1 Se 0.8750 0.8369 0.7500  2 Fe 2.42, 2 Ge 2.68
2 Se 0.5869 0.1250 0.2500  2 Fe 2.42, 2 Ge 2.68
3 Se 0.3750 0.4131 0.7500  2 Fe 2.42, 2 Ge 2.68
4 Se 0.1631 0.6250 0.2500  2 Fe 2.42, 2 Ge 2.68
5 Fe 0.2500 0.7500 0.5000  4 Se 2.42
6 Fe 0.5000 0.5000 0.0000  4 Se 2.42
7 Ge 0.0000 0.0000 0.0000  4 Se 2.68
8 Ge 0.7500 0.2500 0.5000  4 Se 2.68

Results
formation energy (no corrections): 0.024 eV per atom
ρ: 4.69 g/cm³


FeSn2GeSe: optimized geometry, GGA-PBE.

abc: 4.9727 4.9727 4.4697
angles: 90.00 90.00 90.00
With the nearest neighbours (Å) after each atom.
Element x y z (fractional)
1 Sn 0.5000 0.0000 0.0000  2 Fe 2.49
2 Sn 0.0000 0.5000 0.0000  2 Fe 2.49
3 Fe 0.0000 0.0000 0.0000  2 Ge 2.23, 4 Sn 2.49
4 Se 0.5000 0.5000 0.5000  8 Sn 3.34, 4 Ge 3.52
5 Ge 0.0000 0.0000 0.5000  2 Fe 2.23

Results
formation energy (no corrections): -0.096 eV per atom
ρ: 6.68 g/cm³


Th4FeGeSe2: optimized geometry, GGA-PBE.

abc: 4.0715 7.4522 7.4489
angles: 108.42 90.00 90.00
With the nearest neighbours (Å) after each atom.
Element x y z (fractional)
1 Se 0.5000 0.0000 0.5000  6 Th 3.17-3.24
2 Se 0.0000 0.5000 0.5000  6 Th 3.02-3.08
3 Th 0.0000 0.2857 0.7921  2 Fe 2.74, 1 Ge 3.00
4 Th 0.5000 0.7437 0.7676  1 Fe 2.88, 2 Ge 2.95, 3 Se 3.02-3.17
5 Th 0.5000 0.2563 0.2324  1 Fe 2.88, 2 Ge 2.95, 3 Se 3.02-3.17
6 Th 0.0000 0.7143 0.2079  2 Fe 2.74, 1 Ge 3.00
7 Fe 0.5000 0.5000 0.0000  6 Th 2.74-2.88
8 Ge 0.0000 0.0000 0.0000  6 Th 2.95-3.00

Results
formation energy (no corrections): -0.972 eV per atom
ρ: 9.41 g/cm³


Tl2FeGeSe4: optimized geometry, GGA-PBE.

abc: 6.4079 7.2819 12.2931
angles: 83.42 74.89 63.90
With the nearest neighbours (Å) after each atom.
Element x y z (fractional)
1 Tl 0.8096 0.0000 0.3808  2 Se 3.30
2 Tl 0.9404 0.5000 0.1192  2 Se 3.30
3 Tl 0.1904 0.0000 0.6192  2 Se 3.30
4 Tl 0.5596 0.5000 0.8808  2 Se 3.30
5 Se 0.2989 0.7971 0.1052  1 Fe 2.43, 1 Ge 2.43
6 Se 0.1540 0.2971 0.3948  1 Fe 2.43, 1 Ge 2.43
7 Se 0.5489 0.2971 0.6052  1 Fe 2.43, 1 Ge 2.43
8 Se 0.2011 0.2029 0.8948  1 Fe 2.43, 1 Ge 2.43
9 Se 0.8460 0.7029 0.6052  1 Fe 2.43, 1 Ge 2.43
10 Se 0.5960 0.2029 0.1052  1 Fe 2.43, 1 Ge 2.43
11 Se 0.4511 0.7029 0.3948  1 Fe 2.43, 1 Ge 2.43
12 Se 0.9040 0.7971 0.8948  1 Fe 2.43, 1 Ge 2.43
13 Ge 0.2500 0.5000 0.5000  4 Se 2.43
14 Ge 0.5000 0.0000 0.0000  4 Se 2.43
15 Fe 0.0000 0.0000 0.0000  4 Se 2.43
16 Fe 0.7500 0.5000 0.5000  4 Se 2.43

Results
formation energy (no corrections): -0.275 eV per atom
ρ: 5.70 g/cm³


ZnFeGe2Se: optimized geometry, GGA-PBE.

abc: 4.4825 4.4825 4.8203
angles: 90.00 90.00 90.00
With the nearest neighbours (Å) after each atom.
Element x y z (fractional)
1 Zn 0.0000 0.0000 0.5000  2 Fe 2.41
2 Fe 0.0000 0.0000 0.0000  4 Ge 2.24, 2 Zn 2.41
3 Ge 0.5000 0.0000 0.0000  2 Fe 2.24
4 Ge 0.0000 0.5000 0.0000  2 Fe 2.24
5 Se 0.5000 0.5000 0.5000  4 Zn 3.17, 8 Ge 3.29

Results
formation energy (no corrections): 0.211 eV per atom
ρ: 5.92 g/cm³


Fe2SiGe4: optimized geometry, GGA-PBE.

abc: 4.7999 4.7999 6.8326
angles: 69.44 69.44 90.00
With the nearest neighbours (Å) after each atom.
Element x y z (fractional)
1 Ge 0.0000 0.5000 0.0000  2 Si 2.40, 4 Fe 2.65
2 Ge 0.2071 0.2071 0.5858  1 Fe 2.34, 1 Si 2.46
3 Ge 0.7929 0.7929 0.4142  1 Fe 2.34, 1 Si 2.46
4 Ge 0.5000 0.0000 0.0000  2 Si 2.40, 4 Fe 2.65
5 Fe 0.4044 0.4044 0.1911  1 Fe 2.27, 1 Ge 2.34
6 Fe 0.5956 0.5956 0.8089  1 Fe 2.27, 1 Ge 2.34
7 Si 0.0000 0.0000 0.0000  6 Ge 2.40-2.46

Results
formation energy (no corrections): 0.685 eV per atom
ρ: 5.23 g/cm³


FeSi3Ge: optimized geometry, GGA-PBE.

abc: 4.3776 4.3776 4.3776
angles: 90.00 90.00 90.00
With the nearest neighbours (Å) after each atom.
Element x y z (fractional)
1 Si 0.0000 0.5000 0.0000  2 Fe 2.19
2 Si 0.0000 0.0000 0.5000  2 Fe 2.19
3 Si 0.5000 0.0000 0.0000  2 Fe 2.19
4 Fe 0.0000 0.0000 0.0000  6 Si 2.19
5 Ge 0.5000 0.5000 0.5000  12 Si 3.10

Results
formation energy (no corrections): 0.418 eV per atom
ρ: 4.21 g/cm³
relative energy among the computed polymorphs: 0.00 eV/f.u.


We obtain raw total energy values of -5.030, -4.535, -5.173, -3.632, -5.736, -4.988, -5.010, -7.188, -4.243, -4.281, -5.146, -5.452 eV per atom for the records listed above, in that order.